A plane-wave DFT calculation with PBE-GGA was carried out for a relaxed Sr6ZnIn crystal.

Structure (CIF):
```
data_Sr6ZnIn
_chemical_formula_sum 'Sr12 Zn2 In2'
_space_group_name_H-M_alt 'I 4/m m m'
_space_group_IT_number 139
_space_group_name_Hall '-I 4 2'
_cell_length_a 5.801
_cell_length_b 5.801
_cell_length_c 20.561
_cell_angle_alpha 90.00
_cell_angle_beta 90.00
_cell_angle_gamma 90.00
loop_
_atom_site_label
_atom_site_fract_x
_atom_site_fract_y
_atom_site_fract_z
Sr1 0.000 0.000 0.248
Sr2 0.000 0.500 0.093
Zn1 0.000 0.000 0.500
In1 0.000 0.000 0.000
```

- electronic total energy (eV per atom) = -1.926

A plane-wave DFT calculation with PBE-GGA was carried out for a relaxed Tb3Sm5Y3 crystal.

Structure (CIF):
```
data_Tb3Sm5Y3
_chemical_formula_sum 'Tb3 Sm5 Y3'
_space_group_name_H-M_alt 'P -6 2 m'
_space_group_IT_number 189
_space_group_name_Hall 'P -6 -2'
_cell_length_a 9.7087
_cell_length_b 9.7087
_cell_length_c 5.5883
_cell_angle_alpha 90.00
_cell_angle_beta 90.00
_cell_angle_gamma 120.00
loop_
_atom_site_label
_atom_site_fract_x
_atom_site_fract_y
_atom_site_fract_z
Tb1 0.0000 0.6360 0.0000
Sm1 0.0000 0.2717 0.0000
Sm2 0.3333 0.6667 0.0000
Y1 0.0000 0.4588 0.5000
```

- energy relative to the lowest polymorph listed for this composition (kJ/mol of atoms) = 63.3

The calculation returns the following M_tot values, one per record and in order: 0.000 0.000 μB/atom.